(1)
Here is a relaxed CsFe2S3 crystal from OQMD via LeMat-Bulk. Energies are from PBE-GGA.

Cell lengths 7.518, 7.518, 5.168 Å; angles 90.00, 90.00, 102.21 degrees
Sites, in units of the cell vectors:
1 Cs 0.172 0.828 0.750
2 Cs 0.828 0.172 0.250
3 Fe 0.365 0.365 0.000
4 Fe 0.365 0.365 0.500
5 Fe 0.635 0.635 0.000
6 Fe 0.635 0.635 0.500
7 S 0.138 0.339 0.750
8 S 0.339 0.138 0.250
9 S 0.396 0.604 0.250
10 S 0.604 0.396 0.750
11 S 0.661 0.862 0.750
12 S 0.862 0.661 0.250

Output
Total energy in eV per atom: -5.690
Magnetization in μB/f.u.: 0.1
Energy above the most stable polymorph in this dataset in meV/atom: 0

(2)
Here is a relaxed La5Sc crystal from OQMD via LeMat-Bulk. Energies are from PBE-GGA.

Cell lengths 6.374, 6.374, 5.877 Å; angles 90.00, 90.00, 120.00 degrees
Sites, in units of the cell vectors:
1 La 0.000 0.683 0.000
2 La 0.317 0.317 0.000
3 La 0.333 0.667 0.500
4 La 0.667 0.333 0.500
5 La 0.683 0.000 0.000
6 Sc 0.000 0.000 0.500

Output
Total energy in eV per atom: -5.107
Formation enthalpy at 0 K in eV/atom: 0.050
Magnetization in μB/f.u.: 0.0

(3)
Here is a relaxed LiHfGaCo crystal from OQMD via LeMat-Bulk. Energies are from PBE-GGA.

Cell lengths 4.288, 4.288, 4.288 Å; angles 60.00, 60.00, 60.00 degrees
Sites, in units of the cell vectors:
1 Li 0.000 0.000 0.000
2 Hf 0.750 0.750 0.750
3 Ga 0.250 0.250 0.250
4 Co 0.500 0.500 0.500

Output
Total energy in eV per atom: -5.839
Magnetization in μB/f.u.: 0.8
Energy above the most stable polymorph in this dataset in meV/atom: 0

(4)
Here is a relaxed La2YPd2 crystal from OQMD via LeMat-Bulk. Energies are from PBE-GGA.

Cell lengths 8.022, 8.022, 4.104 Å; angles 90.00, 90.00, 90.00 degrees
Sites, in units of the cell vectors:
1 La 0.169 0.331 0.000
2 La 0.331 0.831 0.000
3 La 0.669 0.169 0.000
4 La 0.831 0.669 0.000
5 Y 0.000 0.000 0.500
6 Y 0.500 0.500 0.500
7 Pd 0.131 0.631 0.500
8 Pd 0.369 0.131 0.500
9 Pd 0.631 0.869 0.500
10 Pd 0.869 0.369 0.500

Output
Total energy in eV per atom: -6.019
Formation enthalpy at 0 K in eV/atom: -0.687
Magnetization in μB/f.u.: 0.0